Below is a geometry-optimized Cs3Li2PrI9 structure, with properties calculated at the GGA-PBE level.

Calculated values
Energy: -2.955 eV per atom
Spin magnetization: 0.0 μB/f.u.

Unit cell a=8.5368 b=8.5368 c=10.6289 alpha=90.00 beta=90.00 gamma=120.00
Closest atoms and distances in Å follow each position.
Sites, in units of the cell vectors:
Cs1 0.3333 0.6667 0.6788  12 I 4.21-4.43
Cs2 0.0000 0.0000 0.0000  12 I 4.27-4.31
Cs3 0.6667 0.3333 0.3212  12 I 4.21-4.43
Li1 0.3333 0.6667 0.1398  6 I 2.88-3.12
Li2 0.6667 0.3333 0.8602  6 I 2.88-3.12
Pr1 0.0000 0.0000 0.5000  6 I 3.12
I1 0.8285 0.1715 0.6716  1 Li 3.12, 1 Pr 3.12
I2 0.8285 0.6569 0.6716  1 Li 3.12, 1 Pr 3.12
I3 0.3431 0.1715 0.6716  1 Li 3.12, 1 Pr 3.12
I4 0.6569 0.8285 0.3284  1 Li 3.12, 1 Pr 3.12
I5 0.1715 0.3431 0.3284  1 Li 3.12, 1 Pr 3.12
I6 0.1715 0.8285 0.3284  1 Li 3.12, 1 Pr 3.12
I7 0.5000 0.0000 0.0000  2 Li 2.88
I8 0.0000 0.5000 0.0000  2 Li 2.88
I9 0.5000 0.5000 0.0000  2 Li 2.88

=====

Below is a geometry-optimized Cs2LiPtI6 structure, with properties calculated at the GGA-PBE level.

Calculated values
Energy: -2.748 eV per atom
ΔE to the lowest computed polymorph: 24.4 meV/atom
Spin magnetization: 0.0 μB/f.u.

Unit cell a=8.2368 b=8.2368 c=8.2206 alpha=59.93 beta=59.93 gamma=90.00
Closest atoms and distances in Å follow each position.
Sites, in units of the cell vectors:
Cs1 0.7500 0.2500 0.5000  12 I 4.11-4.12
Cs2 0.2500 0.7500 0.5000  12 I 4.11-4.12
I1 0.2401 0.2401 0.5198  1 Pt 2.79, 1 Li 3.02
I2 0.7599 0.7599 0.4802  1 Pt 2.79, 1 Li 3.02
I3 0.2383 0.2383 0.0000  1 Pt 2.78, 1 Li 3.05
I4 0.7617 0.7617 0.0000  1 Pt 2.78, 1 Li 3.05
I5 0.7617 0.2383 0.0000  1 Pt 2.78, 1 Li 3.05
I6 0.2383 0.7617 0.0000  1 Pt 2.78, 1 Li 3.05
Pt1 0.0000 0.0000 0.0000  6 I 2.78-2.79
Li1 0.5000 0.5000 0.0000  6 I 3.02-3.05

=====

Below is a geometry-optimized Cs2LiPtI6 structure, with properties calculated at the GGA-PBE level.

Calculated values
Energy: -2.772 eV per atom
ΔE to the lowest computed polymorph: 0.0 meV/atom
Spin magnetization: 0.0 μB/f.u.

Unit cell a=8.1553 b=8.1553 c=14.8040 alpha=74.01 beta=74.01 gamma=60.00
Closest atoms and distances in Å follow each position.
Sites, in units of the cell vectors:
Cs1 0.8795 0.8795 0.3616  12 I 4.09-4.29
Cs2 0.1205 0.1205 0.6384  12 I 4.09-4.29
Cs3 0.7034 0.7034 0.8899  9 I 3.98-4.08
Cs4 0.2966 0.2966 0.1101  9 I 3.98-4.08
Li1 0.5772 0.5772 0.2685  3 I 2.82
Li2 0.4228 0.4228 0.7315  3 I 2.82
Pt1 0.0000 0.0000 0.0000  6 I 2.78
Pt2 0.5000 0.5000 0.5000  6 I 2.79
I1 0.8620 0.3759 0.3863  1 Pt 2.79, 1 Li 2.82
I2 0.3759 0.8620 0.3863  1 Pt 2.79, 1 Li 2.82
I3 0.3759 0.3759 0.3863  1 Pt 2.79, 1 Li 2.82
I4 0.1380 0.6241 0.6137  1 Pt 2.79, 1 Li 2.82
I5 0.6241 0.1380 0.6137  1 Pt 2.79, 1 Li 2.82
I6 0.6241 0.6241 0.6137  1 Pt 2.79, 1 Li 2.82
I7 0.7165 0.1989 0.8856  1 Pt 2.78
I8 0.1989 0.7165 0.8856  1 Pt 2.78
I9 0.1989 0.1989 0.8856  1 Pt 2.78
I10 0.2835 0.8011 0.1144  1 Pt 2.78
I11 0.8011 0.2835 0.1144  1 Pt 2.78
I12 0.8011 0.8011 0.1144  1 Pt 2.78

=====

Below is a geometry-optimized CsLiRuPtI structure, with properties calculated at the GGA-PBE level.

Calculated values
Energy: -4.005 eV per atom
ΔE to the lowest computed polymorph: 56.6 meV/atom
Spin magnetization: 2.0 μB/f.u.

Unit cell a=9.4130 b=4.3754 c=7.1739 alpha=90.00 beta=91.49 gamma=90.00
Closest atoms and distances in Å follow each position.
Sites, in units of the cell vectors:
Cs1 0.4101 0.0000 0.7701  3 Pt 3.55-3.62, 1 Ru 3.87, 3 I 3.94-3.95
Cs2 0.4101 0.5000 0.2701  3 Pt 3.55-3.62, 1 Ru 3.87, 3 I 3.94-3.95
Li1 0.8668 0.0000 0.0987  1 Pt 2.49, 3 I 2.74-2.75
Li2 0.8668 0.5000 0.5987  1 Pt 2.49, 3 I 2.74-2.75
Ru1 0.0789 0.0000 0.4395  3 Pt 2.50-2.53
Ru2 0.0789 0.5000 0.9395  3 Pt 2.50-2.53
Pt1 0.1313 0.0000 0.0948  1 Li 2.49, 3 Ru 2.50-2.53
Pt2 0.1313 0.5000 0.5948  1 Li 2.49, 3 Ru 2.50-2.53
I1 0.7377 0.0000 0.4367  3 Li 2.74-2.75
I2 0.7377 0.5000 0.9367  3 Li 2.74-2.75

=====

Below is a geometry-optimized CsLiRuPtI structure, with properties calculated at the GGA-PBE level.

Calculated values
Energy: -3.942 eV per atom
ΔE to the lowest computed polymorph: 119.4 meV/atom
Spin magnetization: 1.0 μB/f.u.

Unit cell a=3.9295 b=4.5503 c=8.1745 alpha=90.00 beta=90.00 gamma=90.00
Closest atoms and distances in Å follow each position.
Sites, in units of the cell vectors:
Cs1 0.0000 0.0000 0.5982  4 Pt 3.66, 2 Cs 3.93, 2 Li 3.94, 4 I 4.03
Li1 0.5000 0.0000 0.0159  2 Pt 2.63
Ru1 0.0000 0.5000 0.0383  2 Pt 2.48, 2 I 2.72
Pt1 0.5000 0.5000 0.8537  2 Ru 2.48, 2 Li 2.63
I1 0.5000 0.5000 0.2691  2 Ru 2.72

=====

Below is a geometry-optimized CsLiRuPtI structure, with properties calculated at the GGA-PBE level.

Calculated values
Energy: -3.910 eV per atom
ΔE to the lowest computed polymorph: 151.0 meV/atom
Spin magnetization: 2.1 μB/f.u.

Unit cell a=4.4384 b=4.4387 c=9.2749 alpha=76.42 beta=76.40 gamma=60.04
Closest atoms and distances in Å follow each position.
Sites, in units of the cell vectors:
Cs1 0.7298 0.1064 0.5982  1 Ru 3.63, 3 I 3.71, 3 Li 3.89-3.91, 3 Pt 4.03-4.05
Li1 0.2866 0.6624 0.9274  3 Pt 2.57, 3 Ru 2.65
Ru1 0.5946 0.9705 0.0043  3 Pt 2.61, 1 I 2.62, 3 Li 2.65
Pt1 0.9465 0.3224 0.9477  3 Li 2.57, 3 Ru 2.61
I1 0.4955 0.8717 0.2975  1 Ru 2.62

=====

Below is a geometry-optimized CsLiRuPtI structure, with properties calculated at the GGA-PBE level.

Calculated values
Energy: -4.061 eV per atom
ΔE to the lowest computed polymorph: 0.0 meV/atom
Spin magnetization: 2.4 μB/f.u.

Unit cell a=4.2115 b=4.3892 c=8.9201 alpha=89.11 beta=89.99 gamma=61.33
Closest atoms and distances in Å follow each position.
Sites, in units of the cell vectors:
Cs1 0.4145 0.7764 0.5934  3 Pt 3.68-3.77, 3 Ru 3.87-4.00, 3 I 3.89-3.91
Li1 0.4077 0.7880 0.0913  3 Ru 2.88, 3 I 2.90-2.92, 3 Pt 2.93-3.19
Ru1 0.0792 0.4454 0.9316  3 Pt 2.50-2.52
Pt1 0.7559 0.0921 0.9015  3 Ru 2.50-2.52
I1 0.0839 0.4347 0.2573  3 Li 2.90-2.92, 1 Ru 2.90

=====

Below is a geometry-optimized CsLiRuPtI structure, with properties calculated at the GGA-PBE level.

Calculated values
Energy: -3.783 eV per atom
ΔE to the lowest computed polymorph: 278.4 meV/atom
Spin magnetization: 0.7 μB/f.u.

Unit cell a=4.0770 b=4.0770 c=29.2845 alpha=90.00 beta=90.00 gamma=120.00
Closest atoms and distances in Å follow each position.
Sites, in units of the cell vectors:
Cs1 0.0000 0.0000 0.1498  3 I 3.76, 3 Li 3.85, 6 Cs 4.08
Cs2 0.3333 0.6667 0.8165  3 I 3.76, 3 Li 3.85, 6 Cs 4.08
Cs3 0.6667 0.3333 0.4832  3 I 3.76, 3 Li 3.85, 6 Cs 4.08
Ru1 0.0000 0.0000 0.6272  1 Li 2.50, 3 Pt 2.65, 3 I 2.68
Ru2 0.3333 0.6667 0.2938  1 Li 2.50, 3 Pt 2.65, 3 I 2.68
Ru3 0.6667 0.3333 0.9605  1 Li 2.50, 3 Pt 2.65, 3 I 2.68
I1 0.0000 0.0000 0.9167  3 Ru 2.68
I2 0.3333 0.6667 0.5833  3 Ru 2.68
I3 0.6667 0.3333 0.2500  3 Ru 2.68
Pt1 0.0000 0.0000 0.3355  3 Ru 2.65, 3 Li 2.68
Pt2 0.3333 0.6667 0.0021  3 Ru 2.65, 3 Li 2.68
Pt3 0.6667 0.3333 0.6688  3 Ru 2.65, 3 Li 2.68
Li1 0.0000 0.0000 0.7125  1 Ru 2.50, 3 Pt 2.68
Li2 0.3333 0.6667 0.3792  1 Ru 2.50, 3 Pt 2.68
Li3 0.6667 0.3333 0.0459  1 Ru 2.50, 3 Pt 2.68

=====

Number 1: density 4.197 g/cm³, uncorrected formation energy -124 kJ/mol of atoms. Number 2: density 5.186 g/cm³, uncorrected formation energy -82 kJ/mol of atoms. Number 3: density 5.050 g/cm³, uncorrected formation energy -85 kJ/mol of atoms. Number 4: density 6.329 g/cm³, uncorrected formation energy -8 kJ/mol of atoms. Number 5: density 6.395 g/cm³, uncorrected formation energy -1 kJ/mol of atoms. Number 6: density 6.135 g/cm³, uncorrected formation energy 2 kJ/mol of atoms. Number 7: density 6.462 g/cm³, uncorrected formation energy -13 kJ/mol of atoms. Number 8: density 6.652 g/cm³, uncorrected formation energy 14 kJ/mol of atoms.